Run one
# PBE V2TcSn2, relaxed
data_V2TcSn2
_symmetry_space_group_name_H-M 'I 4/m m m'
_symmetry_Int_Tables_number 139
_symmetry_space_group_name_Hall '-I 4 2'
_cell_length_a 3.9505
_cell_length_b 3.9505
_cell_length_c 12.2784
_cell_angle_alpha 90.00
_cell_angle_beta 90.00
_cell_angle_gamma 90.00
loop_
_atom_site_label
_atom_site_type_symbol
_atom_site_fract_x
_atom_site_fract_y
_atom_site_fract_z
V1 V 0.0000 0.0000 0.0800
Tc1 Tc 0.0000 0.0000 0.5000
Sn1 Sn 0.0000 0.5000 0.2500
# D(E_F) ... 9.6 states/eV per cell
# Magnetization ... 0.94 μB/f.u.

=====

Run two
# PBE V2TcSn2, relaxed
data_V2TcSn2
_symmetry_space_group_name_H-M 'P 4/m b m'
_symmetry_Int_Tables_number 127
_symmetry_space_group_name_Hall '-P 4 2ab'
_cell_length_a 6.4159
_cell_length_b 6.4159
_cell_length_c 4.3110
_cell_angle_alpha 90.00
_cell_angle_beta 90.00
_cell_angle_gamma 90.00
loop_
_atom_site_label
_atom_site_type_symbol
_atom_site_fract_x
_atom_site_fract_y
_atom_site_fract_z
V1 V 0.1361 0.3639 0.0000
Tc1 Tc 0.0000 0.0000 0.0000
Sn1 Sn 0.1754 0.6754 0.5000
# D(E_F) ... 9.1 states/eV per cell
# Magnetization ... 0.00 μB/f.u.

=====

Which structure is the least stable? The one labeled run one.